A plane-wave DFT calculation with SCAN was carried out for a crystal of ThGeTe relaxed with PBEsol.

Output
Density = 9.11 g/cm³
Total magnetization = 0.000 μB per formula unit
Raw formation energy = -1.04 eV/atom
V = 78.8 Å³/f.u.

```
data_ThGeTe
_symmetry_space_group_name_H-M 'I 4/m m m'
_symmetry_Int_Tables_number 139
_symmetry_space_group_name_Hall '-I 4 2'
_cell_length_a 4.172
_cell_length_b 4.172
_cell_length_c 18.106
_cell_angle_alpha 90.00
_cell_angle_beta 90.00
_cell_angle_gamma 90.00
loop_
_atom_site_label
_atom_site_fract_x
_atom_site_fract_y
_atom_site_fract_z
_atom_site_occupancy
Th1 0.000 0.000 0.124 1
Ge1 0.000 0.500 0.000 1
Te1 0.000 0.000 0.310 1
```

***

A plane-wave DFT calculation with SCAN was carried out for a crystal of Tl2GeTeW relaxed with PBEsol.

Output
Density = 8.93 g/cm³
Total magnetization = 4.623 μB per formula unit
Raw formation energy = 1.48 eV/atom
V = 147.5 Å³/f.u.

```
data_Tl2GeTeW
_symmetry_space_group_name_H-M 'P 4/m m m'
_symmetry_Int_Tables_number 123
_symmetry_space_group_name_Hall '-P 4 2'
_cell_length_a 5.189
_cell_length_b 5.189
_cell_length_c 5.477
_cell_angle_alpha 90.00
_cell_angle_beta 90.00
_cell_angle_gamma 90.00
loop_
_atom_site_label
_atom_site_fract_x
_atom_site_fract_y
_atom_site_fract_z
_atom_site_occupancy
Tl1 0.000 0.500 0.000 1
Ge1 0.000 0.000 0.000 1
Te1 0.000 0.000 0.500 1
W1 0.500 0.500 0.500 1
```

***

A plane-wave DFT calculation with SCAN was carried out for a crystal of ThGe relaxed with PBEsol.

Output
Density = 9.32 g/cm³
Total magnetization = 0.000 μB per formula unit
Calculated formation energy = -17.98 kcal/mol of atoms
V = 54.3 Å³/f.u.

```
data_ThGe
_symmetry_space_group_name_H-M 'F m -3 m'
_symmetry_Int_Tables_number 225
_symmetry_space_group_name_Hall '-F 4 2 3'
_cell_length_a 6.010
_cell_length_b 6.010
_cell_length_c 6.010
_cell_angle_alpha 90.00
_cell_angle_beta 90.00
_cell_angle_gamma 90.00
loop_
_atom_site_label
_atom_site_fract_x
_atom_site_fract_y
_atom_site_fract_z
_atom_site_occupancy
Th1 0.000 0.000 0.000 1
Ge1 0.000 0.000 0.500 1
```

***

A plane-wave DFT calculation with SCAN was carried out for a crystal of Th3Ge2 relaxed with PBEsol.

Output
Density = 10.93 g/cm³
Total magnetization = 0.000 μB per formula unit
Calculated formation energy = -15.96 kcal/mol of atoms
V = 127.8 Å³/f.u.

```
data_Th3Ge2
_symmetry_space_group_name_H-M 'P 4/m b m'
_symmetry_Int_Tables_number 127
_symmetry_space_group_name_Hall '-P 4 2ab'
_cell_length_a 7.897
_cell_length_b 7.897
_cell_length_c 4.100
_cell_angle_alpha 90.00
_cell_angle_beta 90.00
_cell_angle_gamma 90.00
loop_
_atom_site_label
_atom_site_fract_x
_atom_site_fract_y
_atom_site_fract_z
_atom_site_occupancy
Th1 0.000 0.000 0.000 1
Th2 0.178 0.322 0.500 1
Ge1 0.119 0.619 0.000 1
```

***

A plane-wave DFT calculation with SCAN was carried out for a crystal of Ti5Ge4 relaxed with PBEsol.

Output
Density = 6.27 g/cm³
Total magnetization = 0.000 μB per formula unit
Calculated formation energy = -17.94 kcal/mol of atoms
V = 140.4 Å³/f.u.

```
data_Ti5Ge4
_symmetry_space_group_name_H-M 'P n m a'
_symmetry_Int_Tables_number 62
_cell_length_a 6.602
_cell_length_b 12.704
_cell_length_c 6.697
_cell_angle_alpha 90.00
_cell_angle_beta 90.00
_cell_angle_gamma 90.00
loop_
_symmetry_equiv_pos_as_xyz
'x,y,z'
'-x,-y,-z'
'-x+1/2,-y,z+1/2'
'x+1/2,y,-z+1/2'
'x+1/2,-y+1/2,-z+1/2'
'-x+1/2,y+1/2,z+1/2'
'-x,y+1/2,-z'
'x,-y+1/2,z'
loop_
_atom_site_label
_atom_site_fract_x
_atom_site_fract_y
_atom_site_fract_z
_atom_site_occupancy
Ti1 0.014 0.093 0.178 1
Ti2 0.150 0.626 0.334 1
Ti3 0.172 0.250 0.505 1
Ge1 0.045 0.250 0.890 1
Ge2 0.183 0.750 0.653 1
Ge3 0.192 0.040 0.537 1
```

***

A plane-wave DFT calculation with SCAN was carried out for a crystal of Ti5Ge3 relaxed with PBEsol.

Output
Density = 6.06 g/cm³
Total magnetization = 0.000 μB per formula unit
Calculated formation energy = -17.97 kcal/mol of atoms
V = 125.2 Å³/f.u.

```
data_Ti5Ge3
_symmetry_space_group_name_H-M 'P 63/m c m'
_symmetry_Int_Tables_number 193
_symmetry_space_group_name_Hall '-P 6c 2'
_cell_length_a 7.4957
_cell_length_b 7.4957
_cell_length_c 5.1476
_cell_angle_alpha 90.00
_cell_angle_beta 90.00
_cell_angle_gamma 120.00
loop_
_atom_site_label
_atom_site_fract_x
_atom_site_fract_y
_atom_site_fract_z
_atom_site_occupancy
Ti1 0.0000 0.2503 0.2500 1
Ti2 0.3333 0.6667 0.0000 1
Ge1 0.0000 0.3899 0.7500 1
```

***

A plane-wave DFT calculation with SCAN was carried out for a crystal of TiTlGe2 relaxed with PBEsol.

Output
Density = 8.39 g/cm³
Total magnetization = 1.633 μB per formula unit
Calculated formation energy = 8.57 kcal/mol of atoms
V = 78.7 Å³/f.u.

```
data_TiTlGe2
_symmetry_space_group_name_H-M 'F m -3 m'
_symmetry_Int_Tables_number 225
_symmetry_space_group_name_Hall '-F 4 2 3'
_cell_length_a 6.803
_cell_length_b 6.803
_cell_length_c 6.803
_cell_angle_alpha 90.00
_cell_angle_beta 90.00
_cell_angle_gamma 90.00
loop_
_atom_site_label
_atom_site_fract_x
_atom_site_fract_y
_atom_site_fract_z
_atom_site_occupancy
Ti1 0.000 0.000 0.000 1
Tl1 0.000 0.000 0.500 1
Ge1 0.250 0.250 0.250 1
```

***

A plane-wave DFT calculation with SCAN was carried out for a crystal of TmTiGe relaxed with PBEsol.

Output
Density = 8.16 g/cm³
Total magnetization = 0.484 μB per formula unit
Calculated formation energy = -18.04 kcal/mol of atoms
V = 58.9 Å³/f.u.

```
data_TmTiGe
_symmetry_space_group_name_H-M 'P 4/n m m'
_symmetry_Int_Tables_number 129
_cell_length_a 3.969
_cell_length_b 3.969
_cell_length_c 7.480
_cell_angle_alpha 90.00
_cell_angle_beta 90.00
_cell_angle_gamma 90.00
loop_
_symmetry_equiv_pos_as_xyz
'x,y,z'
'-x,-y,-z'
'-y+1/2,x,z'
'y+1/2,-x,-z'
'-x+1/2,-y+1/2,z'
'x+1/2,y+1/2,-z'
'y,-x+1/2,z'
'-y,x+1/2,-z'
'x+1/2,-y,-z'
'-x+1/2,y,z'
'-y,-x,-z'
'y,x,z'
'-x,y+1/2,-z'
'x,-y+1/2,z'
'y+1/2,x+1/2,-z'
'-y+1/2,-x+1/2,z'
loop_
_atom_site_label
_atom_site_fract_x
_atom_site_fract_y
_atom_site_fract_z
_atom_site_occupancy
Tm1 0.250 0.250 0.157 1
Ti1 0.250 0.750 0.500 1
Ge1 0.250 0.250 0.750 1
```

***

A plane-wave DFT calculation with SCAN was carried out for a crystal of ZrTi2GeW relaxed with PBEsol.

Output
Density = 7.31 g/cm³
Total magnetization = 0.000 μB per formula unit
Calculated formation energy = 18.63 kcal/mol of atoms
V = 100.8 Å³/f.u.

```
data_ZrTi2GeW
_symmetry_space_group_name_H-M 'P 4/m m m'
_symmetry_Int_Tables_number 123
_symmetry_space_group_name_Hall '-P 4 2'
_cell_length_a 4.538
_cell_length_b 4.538
_cell_length_c 4.893
_cell_angle_alpha 90.00
_cell_angle_beta 90.00
_cell_angle_gamma 90.00
loop_
_atom_site_label
_atom_site_fract_x
_atom_site_fract_y
_atom_site_fract_z
_atom_site_occupancy
Zr1 0.000 0.000 0.000 1
Ti1 0.000 0.500 0.500 1
Ge1 0.000 0.000 0.500 1
W1 0.500 0.500 0.000 1
```

***

A plane-wave DFT calculation with SCAN was carried out for a crystal of YTi2Ge2 relaxed with PBEsol.

Output
Density = 5.90 g/cm³
Total magnetization = 0.002 μB per formula unit
Calculated formation energy = -17.49 kcal/mol of atoms
V = 92.8 Å³/f.u.

```
data_YTi2Ge2
_symmetry_space_group_name_H-M 'I 4/m m m'
_symmetry_Int_Tables_number 139
_symmetry_space_group_name_Hall '-I 4 2'
_cell_length_a 3.988
_cell_length_b 3.988
_cell_length_c 11.674
_cell_angle_alpha 90.00
_cell_angle_beta 90.00
_cell_angle_gamma 90.00
loop_
_atom_site_label
_atom_site_fract_x
_atom_site_fract_y
_atom_site_fract_z
_atom_site_occupancy
Y1 0.000 0.000 0.000 1
Ti1 0.000 0.500 0.250 1
Ge1 0.000 0.000 0.393 1
```

***

A plane-wave DFT calculation with SCAN was carried out for a crystal of Y2TiGe2 relaxed with PBEsol.

Output
Density = 5.86 g/cm³
Total magnetization = 2.036 μB per formula unit
Calculated formation energy = -19.32 kcal/mol of atoms
V = 105.0 Å³/f.u.

```
data_Y2TiGe2
_symmetry_space_group_name_H-M 'P 4/m b m'
_symmetry_Int_Tables_number 127
_symmetry_space_group_name_Hall '-P 4 2ab'
_cell_length_a 7.076
_cell_length_b 7.076
_cell_length_c 4.196
_cell_angle_alpha 90.00
_cell_angle_beta 90.00
_cell_angle_gamma 90.00
loop_
_atom_site_label
_atom_site_fract_x
_atom_site_fract_y
_atom_site_fract_z
_atom_site_occupancy
Y1 0.176 0.324 0.000 1
Ti1 0.000 0.000 0.500 1
Ge1 0.130 0.630 0.500 1
```

***

A plane-wave DFT calculation with SCAN was carried out for a crystal of TiZnGe3 relaxed with PBEsol.

Output
Density = 4.82 g/cm³
Total magnetization = 0.000 μB per formula unit
Calculated formation energy = 11.22 kcal/mol of atoms
V = 114.1 Å³/f.u.

```
data_TiZnGe3
_symmetry_space_group_name_H-M 'P m -3 m'
_symmetry_Int_Tables_number 221
_symmetry_space_group_name_Hall '-P 4 2 3'
_cell_length_a 4.850
_cell_length_b 4.850
_cell_length_c 4.850
_cell_angle_alpha 90.00
_cell_angle_beta 90.00
_cell_angle_gamma 90.00
loop_
_atom_site_label
_atom_site_fract_x
_atom_site_fract_y
_atom_site_fract_z
_atom_site_occupancy
Ti1 0.000 0.000 0.000 1
Zn1 0.500 0.500 0.500 1
Ge1 0.000 0.000 0.500 1
```